Computed, not measured: a geometry-optimized Cs2SrRuI6 structure at the PBE level of DFT.

Values from the calculation:
The raw formation energy comes out at -1.0162 eV/atom. For the density of states at the Fermi level, the calculation gives 0.0 states/eV/f.u. For the volume, the calculation gives 426.63 Å³/f.u. Its uncorrected energy is -3.213 eV/atom.

Cell and atoms, written as CIF:
```
data_Cs2SrRuI6
_symmetry_space_group_name_H-M 'F m -3 m'
_symmetry_Int_Tables_number 225
_symmetry_space_group_name_Hall '-F 4 2 3'
_cell_length_a 11.9500
_cell_length_b 11.9500
_cell_length_c 11.9500
_cell_angle_alpha 90.00
_cell_angle_beta 90.00
_cell_angle_gamma 90.00
loop_
_atom_site_label
_atom_site_type_symbol
_atom_site_fract_x
_atom_site_fract_y
_atom_site_fract_z
_atom_site_occupancy
Cs1 Cs 0.2500 0.2500 0.2500 1
Sr1 Sr 0.0000 0.0000 0.0000 1
Ru1 Ru 0.0000 0.0000 0.5000 1
I1 I 0.0000 0.0000 0.2707 1
```